(1)
PaAl4Cr | PBE-GGA | relaxed

abc: 4.917 6.435 8.036
angles: 113.60 107.82 90.00
Element x y z (fractional)
Al 0.840 0.341 0.682
Al 0.160 0.659 0.318
Al 0.393 0.112 0.784
Al 0.000 0.185 0.000
Al 0.607 0.888 0.216
Al 0.000 0.815 0.000
Al 0.393 0.672 0.784
Al 0.607 0.328 0.216
Pa 0.790 0.789 0.579
Pa 0.210 0.211 0.421
Cr 0.723 0.500 0.001
Cr 0.277 0.500 0.999

Results
Symmetry: C2/m (12)



(2)
PaAlCr2 | PBE-GGA | relaxed

abc: 3.427 4.347 4.347
angles: 90.00 90.00 90.00
Last column: magnetic moment on the atom in μB.
Element x y z (fractional)
Cr 0.000 0.000 0.500  1.65
Cr 0.000 0.500 0.000  1.65
Pa 0.500 0.000 0.000  0.05
Al 0.500 0.500 0.500  -0.04

Results
Symmetry: P4/mmm (123)
E above lowest polymorph, meV per atom: 36



Number 1: energy of formation from the pure elements -0.0190 eV/atom. Number 2: energy of formation from the pure elements 0.0338 eV/atom.